[1]
Density functional theory data (PBE) for a relaxed structure of DySiCl.

a b c (Å): 7.0298 7.0298 7.4442
angles (deg): 108.43 108.43 107.79
Atoms (fractional coordinates):
Dy: 0.0611 0.9389 0.5000
Dy: 0.4156 0.5832 0.9995
Dy: 0.5832 0.4156 0.4995
Dy: 0.9389 0.0611 0.0000
Si: 0.0511 0.7083 0.8164
Si: 0.2916 0.9489 0.1819
Si: 0.7083 0.0511 0.3164
Si: 0.9489 0.2916 0.6819
Cl: 0.2423 0.4840 0.2574
Cl: 0.4840 0.2423 0.7574
Cl: 0.5166 0.7567 0.7424
Cl: 0.7567 0.5166 0.2424

=====

[2]
Density functional theory data (PBE) for a relaxed structure of MgCo2Ru.

a b c (Å): 4.6406 4.6406 4.5491
angles (deg): 102.68 102.68 34.19
Atoms (fractional coordinates):
Mg: 0.0000 0.0000 0.0000
Co: 0.2399 0.2399 0.7239
Co: 0.7601 0.7601 0.2761
Ru: 0.5000 0.5000 0.5000

Output
* energy of formation: 223 meV/atom

=====

[3]
Density functional theory data (PBE) for a relaxed structure of CaPm8Sm2.

a b c (Å): 9.6890 9.6890 8.2018
angles (deg): 104.57 104.57 30.99
Atoms (fractional coordinates):
Ca: 0.0000 0.0000 0.0000
Pm: 0.0921 0.0921 0.4610
Pm: 0.1843 0.1843 0.9093
Pm: 0.3599 0.3599 0.8112
Pm: 0.4533 0.4533 0.2809
Pm: 0.5467 0.5467 0.7191
Pm: 0.6401 0.6401 0.1888
Pm: 0.8157 0.8157 0.0907
Pm: 0.9079 0.9079 0.5390
Sm: 0.2730 0.2730 0.3624
Sm: 0.7270 0.7270 0.6376

Output
* energy of formation: 32 meV/atom

=====

[4]
Density functional theory data (PBE) for a relaxed structure of HfReS2N.

a b c (Å): 4.7779 4.7779 3.7057
angles (deg): 90.00 90.00 90.00
Atoms (fractional coordinates):
Hf: 0.0000 0.0000 0.0000
Re: 0.5000 0.5000 0.5000
S: 0.0000 0.5000 0.5000
S: 0.5000 0.0000 0.5000
N: 0.5000 0.5000 0.0000

=====

[5]
Density functional theory data (PBE) for a relaxed structure of NdSm8Mg6.

a b c (Å): 8.4715 8.4715 8.4715
angles (deg): 66.20 66.20 66.20
Atoms (fractional coordinates):
Nd: 0.0000 0.0000 0.0000
Sm: 0.1183 0.7846 0.4518
Sm: 0.2154 0.5482 0.8817
Sm: 0.3337 0.3337 0.3337
Sm: 0.4518 0.1183 0.7846
Sm: 0.5482 0.8817 0.2154
Sm: 0.6663 0.6663 0.6663
Sm: 0.7846 0.4518 0.1183
Sm: 0.8817 0.2154 0.5482
Mg: 0.0467 0.3813 0.7127
Mg: 0.2873 0.9533 0.6187
Mg: 0.3813 0.7127 0.0467
Mg: 0.6187 0.2873 0.9533
Mg: 0.7127 0.0467 0.3813
Mg: 0.9533 0.6187 0.2873

Output
* energy of formation: 164 meV/atom

=====

[6]
Density functional theory data (PBE) for a relaxed structure of Sm2Ge4Rh3Au.

a b c (Å): 4.2945 4.2945 10.2001
angles (deg): 90.00 90.00 90.00
Atoms (fractional coordinates):
Sm: 0.0000 0.5000 0.2386
Sm: 0.5000 0.0000 0.7614
Ge: 0.0000 0.0000 0.0000
Ge: 0.0000 0.5000 0.6416
Ge: 0.5000 0.0000 0.3584
Ge: 0.5000 0.5000 0.0000
Rh: 0.0000 0.5000 0.8778
Rh: 0.5000 0.0000 0.1222
Rh: 0.5000 0.5000 0.5000
Au: 0.0000 0.0000 0.5000

Output
* energy of formation: -763 meV/atom

=====

[7]
Density functional theory data (PBE) for a relaxed structure of CdCo2Pb.

a b c (Å): 5.1871 5.1871 5.1871
angles (deg): 135.68 135.68 64.47
Atoms (fractional coordinates):
Cd: 0.0000 0.0000 0.0000
Co: 0.2500 0.7500 0.5000
Co: 0.5000 0.5000 0.0000
Pb: 0.7500 0.2500 0.5000

Output
* energy of formation: 559 meV/atom

=====

[8]
Density functional theory data (PBE) for a relaxed structure of YNiIr.

a b c (Å): 4.4494 4.4494 4.4494
angles (deg): 60.00 60.00 60.00
Atoms (fractional coordinates):
Y: 0.0000 0.0000 0.0000
Ni: 0.7500 0.7500 0.7500
Ir: 0.2500 0.2500 0.2500

Output
* energy of formation: 397 meV/atom

=====

[9]
Density functional theory data (PBE) for a relaxed structure of Zr2AsPtS.

a b c (Å): 5.2307 5.2307 4.3458
angles (deg): 90.00 90.00 90.00
Atoms (fractional coordinates):
Zr: 0.0000 0.5000 0.0000
Zr: 0.5000 0.0000 0.0000
As: 0.0000 0.0000 0.5000
Pt: 0.5000 0.5000 0.0000
S: 0.5000 0.5000 0.5000

=====

[10]
Density functional theory data (PBE) for a relaxed structure of Nd2Dy7Er2.

a b c (Å): 10.5213 10.5213 3.5943
angles (deg): 99.75 99.75 66.83
Atoms (fractional coordinates):
Nd: 0.2348 0.7652 0.0000
Nd: 0.7652 0.2348 0.0000
Dy: 0.0800 0.5834 0.3312
Dy: 0.1211 0.1211 0.1237
Dy: 0.4166 0.9200 0.6688
Dy: 0.5000 0.5000 0.5000
Dy: 0.5834 0.0800 0.3312
Dy: 0.8789 0.8789 0.8763
Dy: 0.9200 0.4166 0.6688
Er: 0.2997 0.2997 0.7998
Er: 0.7003 0.7003 0.2002

Output
* energy of formation: 129 meV/atom

=====

Number 1: M_tot 0.000 μB/atom, DFT total energy -4.996 eV per atom. Number 2: M_tot 0.892 μB/atom, DFT total energy -6.048 eV per atom. Number 3: M_tot 0.000 μB/atom, DFT total energy -4.463 eV per atom. Number 4: M_tot 0.000 μB/atom, DFT total energy -7.670 eV per atom. Number 5: M_tot 0.000 μB/atom, DFT total energy -3.309 eV per atom. Number 6: M_tot 0.000 μB/atom, DFT total energy -6.087 eV per atom. Number 7: M_tot 0.563 μB/atom, DFT total energy -4.149 eV per atom. Number 8: M_tot 0.000 μB/atom, DFT total energy -6.639 eV per atom. Number 9: M_tot 0.000 μB/atom, DFT total energy -6.235 eV per atom. Number 10: M_tot 0.000 μB/atom, DFT total energy -4.496 eV per atom.